1) An optimized crystal structure of PrEr3Ni8. Source: Alexandria via LeMat-Bulk, functional PBE.

Properties
- Total moment: 0.000 μB per cell
- Calculated density: 9971 kg/m³

Lattice parameters (Å, degrees): 5.0722 5.0722 24.9406 90.00 90.00 120.00
Closest atoms and distances in Å follow each position.
Space group R3m (No. 160, hexagonal axes)
Unique sites:
Pr1 0.0000 0.0000 0.0000 [3 per cell]  12 Ni 2.98-3.03, 4 Er 3.12-3.13
Er1 0.0000 0.0000 0.3766 [3 per cell]  12 Ni 2.98-3.05, 1 Er 3.09, 3 Pr 3.12
Er2 0.0000 0.0000 0.5005 [3 per cell]  12 Ni 2.94-2.97, 4 Er 3.09-3.10
Er3 0.0000 0.0000 0.8744 [3 per cell]  12 Ni 2.92-2.97, 3 Er 3.10, 1 Pr 3.13
Ni1 0.0000 0.0000 0.1877 [3 per cell]  6 Ni 2.51-2.52
Ni2 0.0000 0.0000 0.6882 [3 per cell]  6 Ni 2.55-2.59
Ni3 0.0036 0.5018 0.4393 [9 per cell]  6 Ni 2.51-2.56
Ni4 0.1670 0.3340 0.2693 [9 per cell]  6 Ni 2.51-2.59

***

2) An optimized crystal structure of PrEr3Ni8. Source: Alexandria via LeMat-Bulk, functional PBE.

Properties
- Total moment: 0.000 μB per cell
- Calculated density: 9908 kg/m³

Lattice parameters (Å, degrees): 5.0937 5.0937 8.2962 90.00 90.00 120.00
Closest atoms and distances in Å follow each position.
Space group P3m1 (No. 156)
Unique sites:
Pr1 0.0000 0.0000 0.0000 [1 per cell]  12 Ni 2.99-3.04, 4 Er 3.12-3.14
Er1 0.0000 0.0000 0.3765 [1 per cell]  12 Ni 2.93-2.98, 3 Er 3.10, 1 Pr 3.12
Er2 0.6667 0.3333 0.4964 [1 per cell]  12 Ni 2.94-2.99, 4 Er 3.08-3.10
Er3 0.6667 0.3333 0.8674 [1 per cell]  12 Ni 2.98-3.05, 1 Er 3.08, 3 Pr 3.14
Ni1 0.0005 0.5002 0.1899 [3 per cell]  6 Ni 2.50-2.59
Ni2 0.1685 0.3369 0.6805 [3 per cell]  6 Ni 2.51-2.57
Ni3 0.3333 0.6667 0.4334 [1 per cell]  6 Ni 2.50-2.51
Ni4 0.3333 0.6667 0.9331 [1 per cell]  6 Ni 2.55-2.59

***

We find 1) to be the most stable, with the next structure 2.5 kJ/mol of atoms higher.

***

1) An optimized crystal structure of Pr2ErNi. Source: Alexandria via LeMat-Bulk, functional PBE.

Properties
- Total moment: 0.005 μB per cell
- Calculated density: 7534 kg/m³

Lattice parameters (Å, degrees): 3.5990 3.5990 8.6398 90.00 90.00 90.00
Closest atoms and distances in Å follow each position.
Space group P4/mmm (No. 123)
Unique sites:
Pr1 0.0000 0.0000 0.1948 [2 per cell]  4 Ni 3.05, 1 Pr 3.37
Er1 0.5000 0.5000 0.5000 [1 per cell]  4 Er 3.60, 8 Pr 3.66
Ni1 0.5000 0.5000 0.0000 [1 per cell]  8 Pr 3.05

***

2) An optimized crystal structure of Pr2ErNi. Source: Alexandria via LeMat-Bulk, functional PBE.

Properties
- Total moment: 0.000 μB per cell
- Calculated density: 6832 kg/m³

Lattice parameters (Å, degrees): 3.6799 3.6799 31.5700 90.00 90.00 120.00
Closest atoms and distances in Å follow each position.
Space group R-3m (No. 166, hexagonal axes)
Unique sites:
Pr1 0.0000 0.0000 0.1096 [6 per cell]  3 Ni 2.79
Er1 0.0000 0.0000 0.0000 [3 per cell]  2 Pr 3.46, 6 Er 3.68
Ni1 0.0000 0.0000 0.5000 [3 per cell]  6 Pr 2.79

***

We find 1) to be the most stable, with the next structure 19.2 kJ/mol of atoms higher.

***

1) An optimized crystal structure of Er12Ni6Pt. Source: Alexandria via LeMat-Bulk, functional PBE.

Properties
- Total moment: 0.000 μB per cell
- Calculated density: 8802 kg/m³

Lattice parameters (Å, degrees): 12.1623 12.1623 11.2845 90.00 90.00 120.00
Closest atoms and distances in Å follow each position.
Space group R-3 (No. 148, hexagonal axes)
Unique sites:
Er1 0.0231 0.2064 0.3872 [18 per cell]  4 Ni 2.67-2.96
Er2 0.0298 0.2069 0.8782 [18 per cell]  2 Ni 2.69-2.70, 1 Pt 2.73
Ni1 0.0373 0.2595 0.6446 [18 per cell]  6 Er 2.67-2.96
Pt1 0.0000 0.0000 0.0000 [3 per cell]  6 Er 2.73

***

2) An optimized crystal structure of Er12Ni6Pt. Source: Alexandria via LeMat-Bulk, functional PBE.

Properties
- Total moment: 0.000 μB per cell
- Calculated density: 9979 kg/m³

Lattice parameters (Å, degrees): 9.4732 9.4732 9.4732 90.00 90.00 90.00
Closest atoms and distances in Å follow each position.
Space group Im-3 (No. 204)
Unique sites:
Er1 0.0000 0.1841 0.2975 [24 per cell]  3 Ni 2.62-2.86
Ni1 0.0000 0.3731 0.5000 [12 per cell]  1 Ni 2.40, 2 Er 2.62
Pt1 0.0000 0.0000 0.0000 [2 per cell]  12 Er 3.31

***

We find 2) to be the most stable, with the next structure 11.2 kJ/mol of atoms higher.

***

1) An optimized crystal structure of Er6Ni2Pt. Source: Alexandria via LeMat-Bulk, functional PBE.

Properties
- Total moment: 0.000 μB per cell
- Calculated density: 10506 kg/m³

Lattice parameters (Å, degrees): 9.2783 9.3896 9.5506 90.00 90.00 90.00
Closest atoms and distances in Å follow each position.
Space group Immm (No. 71)
Unique sites:
Er1 0.0000 0.1867 0.2502 [8 per cell]  1 Ni 2.80, 2 Pt 2.96
Er2 0.1923 0.5000 0.1713 [8 per cell]  3 Ni 2.67-2.84
Er3 0.2304 0.3232 0.5000 [8 per cell]  3 Ni 2.94-2.95, 1 Pt 3.00
Ni1 0.0000 0.3423 0.0000 [4 per cell]  8 Er 2.80-2.95, 1 Ni 2.96
Ni2 0.0000 0.5000 0.3800 [4 per cell]  1 Ni 2.29
Pt1 0.0000 0.0000 0.0000 [2 per cell]  8 Er 2.96-3.00, 2 Ni 3.21
Pt2 0.0000 0.0000 0.5000 [2 per cell]  8 Er 2.96-3.29

***

2) An optimized crystal structure of Er6Ni2Pt. Source: Alexandria via LeMat-Bulk, functional PBE.

Properties
- Total moment: 0.000 μB per cell
- Calculated density: 9663 kg/m³

Lattice parameters (Å, degrees): 6.4113 7.0087 11.6461 90.00 120.20 90.00
Closest atoms and distances in Å follow each position.
Space group P2_1/c (No. 14)
Unique sites:
Er1 0.0781 0.1851 0.4245 [4 per cell]  1 Pt 2.72, 2 Ni 2.73-2.95
Er2 0.2357 0.6675 0.4187 [4 per cell]  1 Pt 2.75, 2 Ni 2.78-2.81
Er3 0.4096 0.0520 0.2434 [4 per cell]  2 Ni 2.74-2.79, 1 Pt 2.77
Ni1 0.1757 0.1152 0.7336 [4 per cell]  6 Er 2.73-2.95
Pt1 0.5000 0.0000 0.5000 [2 per cell]  6 Er 2.72-2.77

***

We find 1) to be the most stable, with the next structure 8.0 kJ/mol of atoms higher.

***

1) An optimized crystal structure of ErScNiPt. Source: Alexandria via LeMat-Bulk, functional PBE.

Properties
- Total moment: 0.000 μB per cell
- Calculated density: 9955 kg/m³

Lattice parameters (Å, degrees): 4.2805 3.6681 9.9012 90.00 90.00 90.00
Closest atoms and distances in Å follow each position.
Space group Amm2 (No. 38)
Unique sites:
Er1 0.0000 0.0000 0.0000 [2 per cell]  3 Ni 2.72-2.89, 4 Pt 2.90
Sc1 0.5000 0.0000 0.7173 [2 per cell]  3 Pt 2.81-2.82, 4 Ni 2.87
Ni1 0.0000 0.0000 0.2743 [2 per cell]  2 Pt 2.65, 3 Er 2.72-2.89, 4 Sc 2.87
Pt1 0.5000 0.0000 0.4327 [2 per cell]  2 Ni 2.65, 3 Sc 2.81-2.82, 4 Er 2.90

***

2) An optimized crystal structure of ErScNiPt. Source: Alexandria via LeMat-Bulk, functional PBE.

Properties
- Total moment: 0.000 μB per cell
- Calculated density: 10428 kg/m³

Lattice parameters (Å, degrees): 6.6706 6.6706 6.6706 90.00 90.00 90.00
Closest atoms and distances in Å follow each position.
Space group F-43m (No. 216)
Unique sites:
Er1 0.0000 0.0000 0.0000 [4 per cell]  4 Ni 2.89, 4 Pt 2.89
Sc1 0.0000 0.0000 0.5000 [4 per cell]  4 Pt 2.89, 4 Ni 2.89
Ni1 0.2500 0.2500 0.2500 [4 per cell]  4 Sc 2.89, 4 Er 2.89
Pt1 0.2500 0.2500 0.7500 [4 per cell]  4 Er 2.89, 4 Sc 2.89

***

We find 1) to be the most stable, with the next structure 1.6 kJ/mol of atoms higher.

***

1) An optimized crystal structure of TbErNiPt. Source: Alexandria via LeMat-Bulk, functional PBE.

Properties
- Total moment: 0.000 μB per cell
- Calculated density: 11377 kg/m³

Lattice parameters (Å, degrees): 4.3221 3.8127 10.2732 90.00 90.00 90.00
Closest atoms and distances in Å follow each position.
Space group Amm2 (No. 38)
Unique sites:
Tb1 0.0000 0.0000 0.0000 [2 per cell]  3 Ni 2.86-2.97, 4 Pt 2.96
Er1 0.5000 0.0000 0.7195 [2 per cell]  3 Pt 2.92-2.93, 4 Ni 2.94
Ni1 0.0000 0.0000 0.2782 [2 per cell]  2 Pt 2.70, 3 Tb 2.86-2.97, 4 Er 2.94
Pt1 0.5000 0.0000 0.4355 [2 per cell]  2 Ni 2.70, 3 Er 2.92-2.93, 4 Tb 2.96

***

2) An optimized crystal structure of TbErNiPt. Source: Alexandria via LeMat-Bulk, functional PBE.

Properties
- Total moment: 0.000 μB per cell
- Calculated density: 11831 kg/m³

Lattice parameters (Å, degrees): 6.8795 6.8795 6.8795 90.00 90.00 90.00
Closest atoms and distances in Å follow each position.
Space group F-43m (No. 216)
Unique sites:
Tb1 0.0000 0.0000 0.0000 [4 per cell]  4 Ni 2.98, 4 Pt 2.98
Er1 0.0000 0.0000 0.5000 [4 per cell]  4 Pt 2.98, 4 Ni 2.98
Ni1 0.2500 0.2500 0.7500 [4 per cell]  4 Er 2.98, 4 Tb 2.98
Pt1 0.2500 0.2500 0.2500 [4 per cell]  4 Tb 2.98, 4 Er 2.98

***

We find 1) to be the most stable, with the next structure 6.0 kJ/mol of atoms higher.